This record from the Alexandria database describes a relaxed Tl2InNi crystal. The functional is GGA-PBE.

abc: 5.9466 5.9466 3.5651
angles: 74.85 74.85 118.34
With the nearest neighbours (Å) after each atom.
Fractional positions:
Ni1 0.0000 0.5000 0.5000  4 Tl 3.04, 4 In 3.05-3.30
In1 0.5000 0.0000 0.5000  4 Tl 3.04, 4 Ni 3.05-3.30
Tl1 0.0000 0.0000 0.0000  2 In 3.04, 2 Ni 3.04, 4 Tl 3.05-3.30
Tl2 0.5000 0.5000 0.0000  2 Ni 3.04, 2 In 3.04, 4 Tl 3.05-3.30

**D(E_F)**: 3.198 states/eV per cell
**ΔE_f**: 0.411 eV per atom